The following is a PBE-GGA calculation of a geometry-optimized Pr2Nd2Y4Ho structure, from the Alexandria database.

Properties
Fermi-level density of states ... 1.42 states/eV/atom
ΔE_f ... 0.1 kcal/mol of atoms
Electronic total energy ... -5.499 eV per atom
Mass density ... 5.96 g cm⁻³
SG ... C2/m, No. 12

Cell: 3.655 9.659 9.733 Å, 115.27 90.00 100.91°
Fractional coordinates of all 9 atoms:
Pr1 0.852 0.705 0.336
Ho1 0.000 0.000 0.000
Y1 0.816 0.631 0.666
Nd1 0.665 0.330 0.001
Nd2 0.335 0.670 0.999
Y2 0.184 0.369 0.334
Y3 0.519 0.038 0.330
Y4 0.481 0.962 0.670
Pr2 0.148 0.295 0.664